Model A:
This record from Alexandria via LeMat-Bulk describes a relaxed CsPPdO crystal. The functional is PBE.

Lattice parameters (Å, degrees): 3.7132 4.2985 12.3900 90.00 90.00 90.00
Space group Amm2 (No. 38)
Symmetry-distinct sites (fractional):
Cs 0.0000 0.0000 0.0000 [2 per cell]
P 0.5000 0.0000 0.2807 [2 per cell]
Pd 0.5000 0.0000 0.7201 [2 per cell]
O 0.5000 0.0000 0.4064 [2 per cell]

Output
ρ = 4.81 Mg/m³
magnetization = 0.000 μB/f.u.

=====

Model B:
This record from Alexandria via LeMat-Bulk describes a relaxed CsPPdO crystal. The functional is PBE.

Lattice parameters (Å, degrees): 4.4998 3.4874 6.0496 90.00 100.52 90.00
Space group Pm (No. 6)
Symmetry-distinct sites (fractional):
Cs 0.0000 0.0000 0.0000 [1 per cell]
P 0.6719 0.5000 0.4485 [1 per cell]
Pd 0.3796 0.0000 0.5428 [1 per cell]
O 0.0188 0.5000 0.5833 [1 per cell]

Output
ρ = 5.09 Mg/m³
magnetization = 0.000 μB/f.u.

=====

Preferred: model A; penalty for the next structure: 0.059 eV/atom.

=====

Model A:
This record from Alexandria via LeMat-Bulk describes a relaxed CsPPdO crystal. The functional is PBE.

Lattice parameters (Å, degrees): 5.2478 3.8694 9.9949 90.00 90.00 90.00
Space group Amm2 (No. 38)
Symmetry-distinct sites (fractional):
Cs 0.0000 0.0000 0.0000 [2 per cell]
P 0.5000 0.0000 0.6886 [2 per cell]
Pd 0.5000 0.0000 0.3017 [2 per cell]
O 0.5000 0.0000 0.5309 [2 per cell]

Output
ρ = 4.68 Mg/m³
magnetization = 0.000 μB/f.u.

=====

Model B:
This record from Alexandria via LeMat-Bulk describes a relaxed CsPPdO crystal. The functional is PBE.

Lattice parameters (Å, degrees): 6.2093 4.4355 6.7798 90.00 98.34 90.00
Space group Cm (No. 8)
Symmetry-distinct sites (fractional):
Cs 0.0000 0.0000 0.0000 [2 per cell]
P 0.1716 0.5000 0.4857 [2 per cell]
Pd 0.3185 0.0000 0.5659 [2 per cell]
O 0.1415 0.5000 0.2510 [2 per cell]

Output
ρ = 5.15 Mg/m³
magnetization = 0.000 μB/f.u.

=====

Preferred: model B; penalty for the next structure: 0.095 eV/atom.

=====

Model A:
This record from Alexandria via LeMat-Bulk describes a relaxed CsPrP4O12 crystal. The functional is PBE.

Lattice parameters (Å, degrees): 7.2604 9.3511 8.9375 90.00 99.48 90.00
Space group P2_1 (No. 4)
Symmetry-distinct sites (fractional):
Cs 0.1699 0.0000 0.1727 [2 per cell]
Pr 0.2997 0.1654 0.6979 [2 per cell]
P 0.1450 0.5391 0.5430 [2 per cell]
P 0.1922 0.5918 0.2267 [2 per cell]
P 0.4158 0.3900 0.0723 [2 per cell]
P 0.4385 0.7746 0.6245 [2 per cell]
O 0.0090 0.1349 0.8166 [2 per cell]
O 0.0421 0.1103 0.4915 [2 per cell]
O 0.1622 0.4037 0.6332 [2 per cell]
O 0.2249 0.4632 0.1128 [2 per cell]
O 0.2253 0.5082 0.3879 [2 per cell]
O 0.2870 0.6516 0.6379 [2 per cell]
O 0.3428 0.7024 0.2303 [2 per cell]
O 0.3479 0.9178 0.5944 [2 per cell]
O 0.3581 0.3172 0.9243 [2 per cell]
O 0.4261 0.9956 0.9084 [2 per cell]
O 0.4269 0.2204 0.4722 [2 per cell]
O 0.4536 0.2661 0.2004 [2 per cell]

Output
ρ = 3.27 Mg/m³
magnetization = 0.000 μB/f.u.

=====

Model B:
This record from Alexandria via LeMat-Bulk describes a relaxed CsPrP4O12 crystal. The functional is PBE.

Lattice parameters (Å, degrees): 10.7051 9.2154 13.1899 90.00 124.17 90.00
Space group P2_1/c (No. 14)
Symmetry-distinct sites (fractional):
Cs 0.2282 0.0659 0.0381 [4 per cell]
Pr 0.3156 0.7253 0.8170 [4 per cell]
P 0.0346 0.0331 0.2843 [4 per cell]
P 0.2014 0.6007 0.0246 [4 per cell]
P 0.3253 0.1755 0.3628 [4 per cell]
P 0.3865 0.0929 0.7417 [4 per cell]
O 0.0488 0.5353 0.9043 [4 per cell]
O 0.0757 0.5772 0.7234 [4 per cell]
O 0.1186 0.6010 0.2927 [4 per cell]
O 0.1612 0.1615 0.3429 [4 per cell]
O 0.1632 0.7033 0.0919 [4 per cell]
O 0.2680 0.0507 0.5998 [4 per cell]
O 0.2800 0.2062 0.7554 [4 per cell]
O 0.3004 0.6554 0.9859 [4 per cell]
O 0.3665 0.0369 0.3289 [4 per cell]
O 0.4208 0.5363 0.3227 [4 per cell]
O 0.4284 0.2434 0.4863 [4 per cell]
O 0.4845 0.6747 0.7457 [4 per cell]

Output
ρ = 3.64 Mg/m³
magnetization = 0.000 μB/f.u.

=====

Preferred: model A; penalty for the next structure: 0.007 eV/atom.

=====

Model A:
This record from Alexandria via LeMat-Bulk describes a relaxed CsP2PtO crystal. The functional is PBE.

Lattice parameters (Å, degrees): 4.5023 4.5023 7.0365 90.00 90.00 90.00
Space group P4/mmm (No. 123)
Symmetry-distinct sites (fractional):
Cs 0.0000 0.0000 0.0000 [1 per cell]
P 0.0000 0.5000 0.5000 [2 per cell]
Pt 0.5000 0.5000 0.5000 [1 per cell]
O 0.5000 0.5000 0.0000 [1 per cell]

Output
ρ = 4.73 Mg/m³
magnetization = 1.260 μB/f.u.

=====

Model B:
This record from Alexandria via LeMat-Bulk describes a relaxed CsP2PtO crystal. The functional is PBE.

Lattice parameters (Å, degrees): 5.3782 5.3782 4.0859 90.00 90.00 90.00
Space group P4/mmm (No. 123)
Symmetry-distinct sites (fractional):
Cs 0.0000 0.0000 0.0000 [1 per cell]
P 0.0000 0.5000 0.0000 [2 per cell]
Pt 0.5000 0.5000 0.5000 [1 per cell]
O 0.0000 0.0000 0.5000 [1 per cell]

Output
ρ = 5.70 Mg/m³
magnetization = 0.000 μB/f.u.

=====

Preferred: model A; penalty for the next structure: 1.648 eV/atom.

=====

Model A:
This record from Alexandria via LeMat-Bulk describes a relaxed CsTiPO2 crystal. The functional is PBE.

Lattice parameters (Å, degrees): 4.1197 4.1197 7.0159 90.00 90.00 90.00
Space group P4/mmm (No. 123)
Symmetry-distinct sites (fractional):
Cs 0.0000 0.0000 0.0000 [1 per cell]
Ti 0.5000 0.5000 0.5000 [1 per cell]
P 0.0000 0.0000 0.5000 [1 per cell]
O 0.0000 0.5000 0.0000 [2 per cell]

Output
ρ = 3.40 Mg/m³
magnetization = 0.858 μB/f.u.

=====

Model B:
This record from Alexandria via LeMat-Bulk describes a relaxed CsTiPO2 crystal. The functional is PBE.

Lattice parameters (Å, degrees): 4.0466 4.0466 5.1535 90.00 90.00 90.00
Space group P4/mmm (No. 123)
Symmetry-distinct sites (fractional):
Cs 0.0000 0.0000 0.0000 [1 per cell]
Ti 0.5000 0.5000 0.5000 [1 per cell]
P 0.5000 0.5000 0.0000 [1 per cell]
O 0.0000 0.5000 0.5000 [2 per cell]

Output
ρ = 4.80 Mg/m³
magnetization = 0.000 μB/f.u.

=====

Preferred: model B; penalty for the next structure: 1.963 eV/atom.

=====

Model A:
This record from Alexandria via LeMat-Bulk describes a relaxed CsZnPO4 crystal. The functional is PBE.

Lattice parameters (Å, degrees): 9.6204 9.3622 5.4549 90.00 90.00 90.00
Space group Pna2_1 (No. 33)
Symmetry-distinct sites (fractional):
Cs 0.0063 0.1955 0.0000 [4 per cell]
Zn 0.1646 0.5943 0.9994 [4 per cell]
P 0.1925 0.4169 0.4993 [4 per cell]
O 0.0376 0.3735 0.5088 [4 per cell]
O 0.2187 0.7903 0.0944 [4 per cell]
O 0.2216 0.5503 0.6631 [4 per cell]
O 0.2382 0.4533 0.2316 [4 per cell]

Output
ρ = 3.96 Mg/m³
magnetization = 0.000 μB/f.u.

=====

Model B:
This record from Alexandria via LeMat-Bulk describes a relaxed CsZnPO4 crystal. The functional is PBE.

Lattice parameters (Å, degrees): 5.2617 5.4897 8.9799 90.00 94.30 90.00
Space group P2_1/m (No. 11)
Symmetry-distinct sites (fractional):
Cs 0.2080 0.2500 0.3332 [2 per cell]
Zn 0.3387 0.7500 0.0020 [2 per cell]
P 0.2053 0.2500 0.8141 [2 per cell]
O 0.0106 0.7500 0.0796 [2 per cell]
O 0.1116 0.2500 0.6503 [2 per cell]
O 0.3890 0.0260 0.8559 [4 per cell]

Output
ρ = 3.77 Mg/m³
magnetization = 0.000 μB/f.u.

=====

Preferred: model A; penalty for the next structure: 0.065 eV/atom.

=====

Model A:
This record from Alexandria via LeMat-Bulk describes a relaxed CsZnPO2 crystal. The functional is PBE.

Lattice parameters (Å, degrees): 4.3209 4.3209 4.6827 90.00 90.00 90.00
Space group P4/mmm (No. 123)
Symmetry-distinct sites (fractional):
Cs 0.0000 0.0000 0.0000 [1 per cell]
Zn 0.5000 0.5000 0.5000 [1 per cell]
P 0.5000 0.5000 0.0000 [1 per cell]
O 0.0000 0.5000 0.5000 [2 per cell]

Output
ρ = 4.96 Mg/m³
magnetization = 0.611 μB/f.u.

=====

Model B:
This record from Alexandria via LeMat-Bulk describes a relaxed CsZnPO2 crystal. The functional is PBE.

Lattice parameters (Å, degrees): 4.2065 4.2065 6.4047 90.00 90.00 90.00
Space group P4/mmm (No. 123)
Symmetry-distinct sites (fractional):
Cs 0.0000 0.0000 0.0000 [1 per cell]
Zn 0.5000 0.5000 0.5000 [1 per cell]
P 0.0000 0.0000 0.5000 [1 per cell]
O 0.0000 0.5000 0.0000 [2 per cell]

Output
ρ = 3.83 Mg/m³
magnetization = 0.001 μB/f.u.

=====

Preferred: model A; penalty for the next structure: 0.854 eV/atom.

=====

Model A:
This record from Alexandria via LeMat-Bulk describes a relaxed CsZnP2O crystal. The functional is PBE.

Lattice parameters (Å, degrees): 5.6029 5.6029 4.3837 90.00 90.00 90.00
Space group P4/mmm (No. 123)
Symmetry-distinct sites (fractional):
Cs 0.0000 0.0000 0.0000 [1 per cell]
Zn 0.5000 0.5000 0.5000 [1 per cell]
P 0.0000 0.5000 0.0000 [2 per cell]
O 0.0000 0.0000 0.5000 [1 per cell]

Output
ρ = 3.33 Mg/m³
magnetization = 1.592 μB/f.u.

=====

Model B:
This record from Alexandria via LeMat-Bulk describes a relaxed CsZnP2O crystal. The functional is PBE.

Lattice parameters (Å, degrees): 4.7947 4.7947 4.7259 90.00 90.00 90.00
Space group P4/mmm (No. 123)
Symmetry-distinct sites (fractional):
Cs 0.0000 0.0000 0.0000 [1 per cell]
Zn 0.5000 0.5000 0.5000 [1 per cell]
P 0.0000 0.5000 0.5000 [2 per cell]
O 0.5000 0.5000 0.0000 [1 per cell]

Output
ρ = 4.22 Mg/m³
magnetization = 1.813 μB/f.u.

=====

Preferred: model B; penalty for the next structure: 1.118 eV/atom.

=====

Model A:
This record from Alexandria via LeMat-Bulk describes a relaxed CsZrPO2 crystal. The functional is PBE.

Lattice parameters (Å, degrees): 4.1272 4.1272 6.8767 90.00 90.00 90.00
Space group P4/mmm (No. 123)
Symmetry-distinct sites (fractional):
Cs 0.0000 0.0000 0.0000 [1 per cell]
Zr 0.5000 0.5000 0.5000 [1 per cell]
P 0.0000 0.0000 0.5000 [1 per cell]
O 0.0000 0.5000 0.0000 [2 per cell]

Output
ρ = 4.07 Mg/m³
magnetization = 0.547 μB/f.u.

=====

Model B:
This record from Alexandria via LeMat-Bulk describes a relaxed CsZrPO2 crystal. The functional is PBE.

Lattice parameters (Å, degrees): 4.2532 4.2532 5.4889 90.00 90.00 90.00
Space group P4/mmm (No. 123)
Symmetry-distinct sites (fractional):
Cs 0.0000 0.0000 0.0000 [1 per cell]
Zr 0.5000 0.5000 0.5000 [1 per cell]
P 0.5000 0.5000 0.0000 [1 per cell]
O 0.0000 0.5000 0.5000 [2 per cell]

Output
ρ = 4.80 Mg/m³
magnetization = 0.002 μB/f.u.

=====

Preferred: model B; penalty for the next structure: 2.001 eV/atom.

=====

Model A:
This record from Alexandria via LeMat-Bulk describes a relaxed Cs3PaO4 crystal. The functional is PBE.

Lattice parameters (Å, degrees): 9.2083 7.8936 6.9049 90.00 90.00 90.00
Space group Pmn2_1 (No. 31)
Symmetry-distinct sites (fractional):
Cs 0.0000 0.1593 0.0000 [2 per cell]
Cs 0.2429 0.3260 0.4994 [4 per cell]
Pa 0.0000 0.8247 0.4860 [2 per cell]
O 0.0000 0.0773 0.5678 [2 per cell]
O 0.0000 0.8221 0.1855 [2 per cell]
O 0.1887 0.7012 0.5666 [4 per cell]

Output
ρ = 4.59 Mg/m³
magnetization = 0.000 μB/f.u.

=====

Model B:
This record from Alexandria via LeMat-Bulk describes a relaxed Cs3PaO4 crystal. The functional is PBE.

Lattice parameters (Å, degrees): 7.1517 7.1517 8.2680 90.00 90.00 90.00
Space group I4/mmm (No. 139)
Symmetry-distinct sites (fractional):
Cs 0.0000 0.0000 0.0000 [2 per cell]
Cs 0.0000 0.5000 0.2500 [4 per cell]
Pa 0.0000 0.0000 0.5000 [2 per cell]
O 0.2031 0.2031 0.5000 [8 per cell]

Output
ρ = 5.45 Mg/m³
magnetization = 0.000 μB/f.u.

=====

Preferred: model A; penalty for the next structure: 0.126 eV/atom.